1.
! PBEsol ZnSi4As2H36C12, relaxed; values from VASP
&SYSTEM
  ibrav = 0, nat = 110, ntyp = 5
/
ATOMIC_SPECIES
Zn 65.41 Zn.upf
Si 28.09 Si.upf
As 74.92 As.upf
H 1.01 H.upf
C 12.01 C.upf
CELL_PARAMETERS angstrom
9.8021 0.0000 0.0000
-2.7013 10.4851 0.0000
-3.2984 -1.4315 11.8589
ATOMIC_POSITIONS crystal
Zn 0.0167 0.3825 0.0933
Zn 0.9833 0.6175 0.9067
Si 0.1322 0.3283 0.8482
Si 0.1400 0.8076 0.7143
Si 0.2637 0.3214 0.3390
Si 0.2788 0.7980 0.2001
Si 0.7212 0.2020 0.7999
Si 0.7363 0.6786 0.6610
Si 0.8600 0.1924 0.2857
Si 0.8678 0.6717 0.1518
As 0.0486 0.2080 0.1980
As 0.0733 0.6219 0.1129
As 0.9267 0.3781 0.8871
As 0.9514 0.7920 0.8020
H 0.0231 0.2083 0.6549
H 0.0286 0.9109 0.5492
H 0.0421 0.6252 0.5582
H 0.0672 0.3770 0.6476
H 0.0855 0.0943 0.8729
H 0.1388 0.0285 0.6653
H 0.1443 0.5794 0.6844
H 0.1742 0.9837 0.1506
H 0.1771 0.1914 0.0043
H 0.1940 0.4543 0.4759
H 0.2071 0.5323 0.3537
H 0.2099 0.2972 0.6770
H 0.2120 0.9138 0.0329
H 0.2160 0.8743 0.3695
H 0.2241 0.9527 0.5808
H 0.2363 0.1834 0.4929
H 0.2382 0.6772 0.6000
H 0.2735 0.5601 0.8725
H 0.2771 0.1742 0.9054
H 0.3045 0.7492 0.3993
H 0.3071 0.4940 0.0032
H 0.3278 0.1229 0.4049
H 0.3287 0.9524 0.8786
H 0.3303 0.7893 0.8896
H 0.3592 0.0148 0.1438
H 0.3704 0.5305 0.4609
H 0.3822 0.4330 0.2019
H 0.3933 0.4582 0.9002
H 0.4100 0.9075 0.3928
H 0.4116 0.8754 0.7929
H 0.4150 0.2791 0.2145
H 0.4252 0.2592 0.5076
H 0.4335 0.7285 0.0912
H 0.4565 0.1695 0.7820
H 0.4579 0.6657 0.2239
H 0.4823 0.5901 0.6781
H 0.5177 0.4099 0.3219
H 0.5421 0.3343 0.7761
H 0.5435 0.8305 0.2180
H 0.5665 0.2715 0.9088
H 0.5748 0.7408 0.4924
H 0.5850 0.7209 0.7855
H 0.5884 0.1246 0.2071
H 0.5900 0.0925 0.6072
H 0.6067 0.5418 0.0998
H 0.6178 0.5670 0.7981
H 0.6296 0.4695 0.5391
H 0.6408 0.9852 0.8562
H 0.6697 0.2107 0.1104
H 0.6713 0.0476 0.1214
H 0.6722 0.8771 0.5951
H 0.6929 0.5060 0.9968
H 0.6955 0.2508 0.6007
H 0.7229 0.8258 0.0946
H 0.7265 0.4399 0.1275
H 0.7618 0.3228 0.4000
H 0.7637 0.8166 0.5071
H 0.7759 0.0473 0.4192
H 0.7840 0.1257 0.6305
H 0.7880 0.0862 0.9671
H 0.7901 0.7028 0.3230
H 0.7929 0.4677 0.6463
H 0.8060 0.5457 0.5241
H 0.8229 0.8086 0.9957
H 0.8258 0.0163 0.8494
H 0.8557 0.4206 0.3156
H 0.8612 0.9715 0.3347
H 0.9145 0.9057 0.1271
H 0.9328 0.6230 0.3524
H 0.9579 0.3748 0.4418
H 0.9714 0.0891 0.4508
H 0.9769 0.7917 0.3451
C 0.1047 0.3005 0.6923
C 0.1319 0.9369 0.6186
C 0.1404 0.6583 0.6315
C 0.1706 0.1838 0.9138
C 0.2532 0.9402 0.1251
C 0.2576 0.4736 0.4145
C 0.2908 0.4737 0.9119
C 0.3037 0.8349 0.3547
C 0.3180 0.2116 0.4459
C 0.3187 0.8612 0.8299
C 0.4081 0.3646 0.2624
C 0.4433 0.7507 0.1812
C 0.5567 0.2493 0.8188
C 0.5919 0.6354 0.7376
C 0.6813 0.1388 0.1701
C 0.6820 0.7884 0.5541
C 0.6963 0.1651 0.6453
C 0.7092 0.5263 0.0881
C 0.7424 0.5264 0.5855
C 0.7468 0.0598 0.8749
C 0.8294 0.8162 0.0862
C 0.8596 0.3417 0.3685
C 0.8681 0.0631 0.3814
C 0.8953 0.6995 0.3077
! Space group: P-1, No. 2
! V: 11.08 Å³/atom
! Final energy: -5.07 eV per atom

=====

2.
! PBEsol HfAsC3, relaxed; values from VASP
&SYSTEM
  ibrav = 0, nat = 5, ntyp = 3
/
ATOMIC_SPECIES
Hf 178.49 Hf.upf
As 74.92 As.upf
C 12.01 C.upf
CELL_PARAMETERS angstrom
3.8337 0.0000 0.0000
0.0000 3.8337 0.0000
0.0000 0.0000 3.8337
ATOMIC_POSITIONS crystal
Hf 0.0000 0.0000 0.0000
As 0.5000 0.5000 0.5000
C 0.0000 0.5000 0.5000
C 0.5000 0.0000 0.5000
C 0.5000 0.5000 0.0000
! Space group: Pm-3m, No. 221
! V: 11.27 Å³/atom
! DFT formation energy: 8.9 eV/f.u.
! Final energy: -7.12 eV per atom

=====

3.
! PBEsol TiHgAs2C, relaxed; values from VASP
&SYSTEM
  ibrav = 0, nat = 5, ntyp = 4
/
ATOMIC_SPECIES
Ti 47.87 Ti.upf
Hg 200.59 Hg.upf
As 74.92 As.upf
C 12.01 C.upf
CELL_PARAMETERS angstrom
4.3359 0.0000 0.0000
0.0000 4.3359 0.0000
0.0000 0.0000 4.4463
ATOMIC_POSITIONS crystal
Ti 0.0000 0.0000 0.0000
Hg 0.5000 0.5000 0.0000
As 0.0000 0.5000 0.5000
As 0.5000 0.0000 0.5000
C 0.5000 0.5000 0.5000
! Space group: P4/mmm, No. 123
! V: 16.72 Å³/atom
! DFT formation energy: 4.9 eV/f.u.
! Final energy: -4.77 eV per atom

=====

4.
! PBEsol AsCI3, relaxed; values from VASP
&SYSTEM
  ibrav = 0, nat = 5, ntyp = 3
/
ATOMIC_SPECIES
As 74.92 As.upf
C 12.01 C.upf
I 126.90 I.upf
CELL_PARAMETERS angstrom
4.9312 0.0000 0.0000
0.0000 4.9312 0.0000
0.0000 0.0000 4.9312
ATOMIC_POSITIONS crystal
As 0.0000 0.0000 0.0000
C 0.5000 0.5000 0.5000
I 0.0000 0.5000 0.5000
I 0.5000 0.0000 0.5000
I 0.5000 0.5000 0.0000
! Space group: Pm-3m, No. 221
! V: 23.98 Å³/atom
! Distance to the lowest polymorph of the same formula: 0 meV per atom
! Formation energy without anion corrections: 1253.0 meV/atom
! Final energy: -2.76 eV per atom

=====

5.
! PBEsol AsC3I, relaxed; values from VASP
&SYSTEM
  ibrav = 0, nat = 5, ntyp = 3
/
ATOMIC_SPECIES
As 74.92 As.upf
C 12.01 C.upf
I 126.90 I.upf
CELL_PARAMETERS angstrom
4.0828 0.0000 0.0000
0.0000 4.0828 0.0000
0.0000 0.0000 4.0828
ATOMIC_POSITIONS crystal
As 0.0000 0.0000 0.0000
C 0.0000 0.5000 0.5000
C 0.5000 0.0000 0.5000
C 0.5000 0.5000 0.0000
I 0.5000 0.5000 0.5000
! Space group: Pm-3m, No. 221
! V: 13.61 Å³/atom
! Formation energy without anion corrections: 3376.5 meV/atom
! Final energy: -3.78 eV per atom

=====

6.
! PBEsol AsCI3, relaxed; values from VASP
&SYSTEM
  ibrav = 0, nat = 5, ntyp = 3
/
ATOMIC_SPECIES
As 74.92 As.upf
C 12.01 C.upf
I 126.90 I.upf
CELL_PARAMETERS angstrom
5.5713 0.0000 0.0000
0.0000 5.5713 0.0000
0.0000 0.0000 5.5713
ATOMIC_POSITIONS crystal
As 0.0000 0.0000 0.0000
C 0.5000 0.5000 0.5000
I 0.0000 0.0000 0.5000
I 0.0000 0.5000 0.0000
I 0.5000 0.0000 0.0000
! Space group: Pm-3m, No. 221
! V: 34.59 Å³/atom
! Distance to the lowest polymorph of the same formula: 327 meV per atom
! Formation energy without anion corrections: 1579.9 meV/atom
! Final energy: -2.43 eV per atom